(1)
DFT (GGA-PBE) results for a relaxed Ge2Pt2W crystal.

- volume (Å³/f.u.) = 79.1
- raw total energy (eV per atom) = -6.779
- calculated formation energy (eV per formula unit) = 0.37
- D(E_F) (states/eV per cell) = 3.6
- magnetic moment (μB/atom) = 0.0000

Unit cell a=7.2094 b=7.2094 c=3.0455 alpha=90.00 beta=90.00 gamma=90.00
Atoms (fractional coordinates):
Ge 0.1515 0.3485 0.0000
W 0.0000 0.0000 0.0000
W 0.5000 0.5000 0.0000
Pt 0.3514 0.1486 0.5000
Pt 0.6486 0.8514 0.5000
Ge 0.8485 0.6515 0.0000
Ge 0.3485 0.8485 0.0000
Ge 0.6515 0.1515 0.0000
Pt 0.8514 0.3514 0.5000
Pt 0.1486 0.6486 0.5000

---

(2)
DFT (GGA-PBE) results for a relaxed YGePt2W crystal.

- volume (Å³/f.u.) = 108.2
- raw total energy (eV per atom) = -6.359
- calculated formation energy (eV per formula unit) = 4.32
- D(E_F) (states/eV per cell) = 4.9
- magnetic moment (μB/atom) = 0.2857

Unit cell a=4.6059 b=5.1004 c=4.6059 alpha=90.00 beta=90.00 gamma=90.00
Last column: magnetic moment on the atom in μB.
Atoms (fractional coordinates):
W 0.5000 0.5000 0.5000  1.37
Y 0.0000 0.5000 0.0000  -0.09
Pt 0.5000 0.0000 0.0000  -0.04
Pt 0.0000 0.0000 0.5000  -0.06
Ge 0.0000 0.0000 0.0000  -0.06

---

(3)
DFT (GGA-PBE) results for a relaxed YGe3Pt crystal.

- volume (Å³/f.u.) = 119.9
- raw total energy (eV per atom) = -5.216
- calculated formation energy (eV per formula unit) = 0.28
- D(E_F) (states/eV per cell) = 4.9
- magnetic moment (μB/atom) = 0.0000

Unit cell a=4.9308 b=4.9308 c=4.9308 alpha=90.00 beta=90.00 gamma=90.00
Atoms (fractional coordinates):
Y 0.5000 0.5000 0.5000
Ge 0.0000 0.5000 0.0000
Pt 0.0000 0.0000 0.0000
Ge 0.0000 0.0000 0.5000
Ge 0.5000 0.0000 0.0000

---

(4)
DFT (GGA-PBE) results for a relaxed YGe3Pt crystal.

- volume (Å³/f.u.) = 99.7
- raw total energy (eV per atom) = -5.852
- calculated formation energy (eV per formula unit) = -2.90
- D(E_F) (states/eV per cell) = 1.5
- magnetic moment (μB/atom) = 0.0000

Unit cell a=4.5099 b=4.5099 c=5.8630 alpha=112.82 beta=112.82 gamma=89.89
Atoms (fractional coordinates):
Ge 0.3471 0.8465 0.6949
Y 0.5856 0.5856 0.1654
Ge 0.8465 0.3471 0.6949
Pt 0.2343 0.2343 0.4725
Ge 0.9896 0.9896 0.9784

---

(5)
DFT (GGA-PBE) results for a relaxed YGe2Pt crystal.

- volume (Å³/f.u.) = 86.8
- raw total energy (eV per atom) = -5.963
- calculated formation energy (eV per formula unit) = -2.11
- D(E_F) (states/eV per cell) = 3.6
- magnetic moment (μB/atom) = 0.0000

Unit cell a=4.3883 b=4.3883 c=9.5294 alpha=76.69 beta=76.69 gamma=90.00
Atoms (fractional coordinates):
Ge 0.3750 0.2869 0.7500
Pt 0.7500 0.2500 0.5000
Y 0.2500 0.7500 0.5000
Y 0.5000 0.5000 0.0000
Ge 0.8750 0.9631 0.7500
Pt 0.0000 0.0000 0.0000
Ge 0.0369 0.6250 0.2500
Ge 0.7131 0.1250 0.2500

---

(6)
DFT (GGA-PBE) results for a relaxed Y3Ge6Pt4 crystal.

- volume (Å³/f.u.) = 252.6
- raw total energy (eV per atom) = -6.371
- calculated formation energy (eV per formula unit) = -11.56
- D(E_F) (states/eV per cell) = 8.5
- magnetic moment (μB/atom) = 0.0000

Unit cell a=4.3597 b=8.7941 c=13.3547 alpha=80.68 beta=90.00 gamma=90.00
Atoms (fractional coordinates):
Pt 0.7500 0.0285 0.3744
Ge 0.7500 0.6217 0.9969
Pt 0.2500 0.1520 0.9094
Pt 0.7500 0.8480 0.0906
Pt 0.2500 0.6460 0.8986
Ge 0.2500 0.8736 0.9936
Ge 0.2500 0.3783 0.0031
Ge 0.7500 0.1264 0.0064
Pt 0.7500 0.3540 0.1014
Ge 0.2500 0.6976 0.7152
Y 0.7500 0.2344 0.5616
Ge 0.2500 0.1958 0.7228
Ge 0.7500 0.5861 0.5669
Ge 0.7500 0.3024 0.2848
Ge 0.2500 0.4139 0.4331
Ge 0.2500 0.1184 0.4329
Y 0.2500 0.0645 0.1872
Ge 0.7500 0.8816 0.5671
Pt 0.7500 0.5323 0.3753
Y 0.2500 0.5883 0.1898
Pt 0.2500 0.4677 0.6247
Y 0.7500 0.9355 0.8128
Y 0.2500 0.7656 0.4384
Y 0.7500 0.4117 0.8102
Pt 0.2500 0.9715 0.6256
Ge 0.7500 0.8042 0.2772